[1]
A relaxed structure of Al6VGa12, computed with GGA-PBE.

Properties
ρ in kg/m3: 5038
E_form in eV/atom: 0.007
Spin magnetization in μB/atom: 0.000

abc: 7.1582 7.1582 7.1582
angles: 78.08 78.08 78.08
Fractional coordinates of all 19 atoms:
1 Ga 0.4848 0.4522 0.8017
2 Ga 0.4522 0.8017 0.4848
3 Ga 0.5152 0.5478 0.1983
4 Ga 0.8017 0.4848 0.4522
5 Ga 0.3362 0.1407 0.9868
6 Ga 0.1983 0.5152 0.5478
7 Ga 0.6638 0.8593 0.0132
8 Ga 0.8593 0.0132 0.6638
9 Ga 0.9868 0.3362 0.1407
10 Ga 0.0132 0.6638 0.8593
11 Ga 0.1407 0.9868 0.3362
12 Ga 0.5478 0.1983 0.5152
13 Al 0.8721 0.3617 0.8065
14 Al 0.3617 0.8065 0.8721
15 Al 0.1279 0.6383 0.1935
16 Al 0.8065 0.8721 0.3617
17 Al 0.6383 0.1935 0.1279
18 Al 0.1935 0.1279 0.6383
19 V 0.0000 0.0000 0.0000

***

[2]
A relaxed structure of Al6VGa, computed with GGA-PBE.

Properties
ρ in kg/m3: 3266
E_form in eV/atom: 0.134
Spin magnetization in μB/atom: 0.194

abc: 4.6139 4.6139 7.4593
angles: 76.85 76.85 70.37
Each line ends with the local moment (μB).
Fractional coordinates of all 8 atoms:
1 Al 0.4481 0.9440 0.7044  -0.01
2 Al 0.0560 0.5519 0.2956  -0.01
3 Al 0.5519 0.0560 0.2956  -0.01
4 Al 0.9440 0.4481 0.7044  -0.01
5 Al 0.3556 0.3556 0.9481  -0.01
6 Al 0.6444 0.6444 0.0519  -0.01
7 V 0.0000 0.0000 0.0000  1.35
8 Ga 0.5000 0.5000 0.5000  0.02

***

[3]
A relaxed structure of Al3V4Ga, computed with GGA-PBE.

Properties
ρ in kg/m3: 5201
E_form in eV/atom: -0.221
Spin magnetization in μB/atom: 0.000

abc: 3.5617 8.9923 4.8356
angles: 125.09 111.61 90.00
Fractional coordinates of all 8 atoms:
1 Al 0.5000 0.5000 0.0000
2 Al 0.2502 0.7496 0.5004
3 Al 0.7498 0.2504 0.4996
4 V 0.8755 0.6253 0.7509
5 V 0.6254 0.8756 0.2508
6 V 0.1245 0.3747 0.2491
7 V 0.3746 0.1244 0.7492
8 Ga 0.0000 0.0000 0.0000

***

[4]
A relaxed structure of Al2V4Ga3, computed with GGA-PBE.

Properties
ρ in kg/m3: 5995
E_form in eV/atom: -0.126
Spin magnetization in μB/atom: 0.000

abc: 4.4356 4.8777 6.8369
angles: 99.78 90.00 117.04
Fractional coordinates of all 9 atoms:
1 V 0.8836 0.7672 0.3466
2 V 0.6745 0.3489 0.0124
3 V 0.3255 0.6511 0.9876
4 V 0.1164 0.2328 0.6534
5 Ga 0.4447 0.8895 0.6611
6 Ga 0.0000 0.0000 0.0000
7 Ga 0.5553 0.1105 0.3389
8 Al 0.7878 0.5755 0.6902
9 Al 0.2122 0.4245 0.3098

***

[5]
A relaxed structure of Al8VGa2, computed with GGA-PBE.

Properties
ρ in kg/m3: 3791
E_form in eV/atom: -0.052
Spin magnetization in μB/atom: 0.000

abc: 3.8690 6.5982 7.4032
angles: 102.29 105.15 90.00
Fractional coordinates of all 11 atoms:
1 Al 0.1344 0.1563 0.2689
2 Al 0.3230 0.1088 0.6460
3 Al 0.6770 0.8912 0.3540
4 Al 0.8656 0.8437 0.7311
5 Al 0.9590 0.2714 0.9180
6 Al 0.4105 0.5820 0.8210
7 Al 0.5895 0.4180 0.1790
8 Al 0.0410 0.7286 0.0820
9 Ga 0.2128 0.6095 0.4257
10 Ga 0.7872 0.3905 0.5743
11 V 0.5000 0.0000 0.0000

***

[6]
A relaxed structure of AlV12Ga3, computed with GGA-PBE.

Properties
ρ in kg/m3: 6415
E_form in eV/atom: -0.167
Spin magnetization in μB/atom: 0.204

abc: 4.7927 4.7897 9.5564
angles: 90.00 90.00 90.00
Each line ends with the local moment (μB).
Fractional coordinates of all 16 atoms:
1 V 0.0000 0.2505 0.7497  0.22
2 V 0.0000 0.7495 0.7497  0.22
3 V 0.5000 0.0000 0.8762  0.20
4 V 0.7500 0.5000 0.0000  0.27
5 V 0.2475 0.5000 0.5000  0.18
6 V 0.5000 0.0000 0.3745  0.22
7 V 0.0000 0.7495 0.2503  0.22
8 V 0.0000 0.2505 0.2503  0.22
9 V 0.5000 0.0000 0.1238  0.20
10 V 0.5000 0.0000 0.6255  0.22
11 V 0.7525 0.5000 0.5000  0.18
12 V 0.2500 0.5000 0.0000  0.27
13 Ga 0.5000 0.5000 0.7500  0.01
14 Ga 0.0000 0.0000 0.0000  0.00
15 Ga 0.5000 0.5000 0.2500  0.01
16 Al 0.0000 0.0000 0.5000  0.00